The following is a PBE calculation of a relaxed Dy2Ho5 crystal, from Alexandria.

Cell lengths 3.5149, 6.0975, 10.5743 Å; angles 84.47, 89.89, 73.37 degrees
Closest atoms and distances in Å follow each position.
Sites, in units of the cell vectors:
Dy 0.2141 0.0714 0.3569  4 Dy 3.51-3.53, 8 Ho 3.52
Dy 0.7859 0.9286 0.6431  4 Dy 3.51-3.53, 8 Ho 3.52
Ho 0.0713 0.3572 0.7861  9 Ho 3.51-3.53, 3 Dy 3.52
Ho 0.3574 0.7857 0.9286  10 Ho 3.51-3.52, 2 Dy 3.52
Ho 0.5000 0.5000 0.5000  6 Ho 3.51-3.53, 6 Dy 3.52
Ho 0.6426 0.2143 0.0714  10 Ho 3.51-3.52, 2 Dy 3.52
Ho 0.9287 0.6428 0.2139  9 Ho 3.51-3.53, 3 Dy 3.52

Summary:
* space group: No. 2
* volume: 216.06 Å³ per cell
* density: 8.84 g/cm3
* E_form: 0.1 eV/f.u.